## TlPb2Se (PBEsol)

Data for a geometry-optimized TlPb2Se structure.

Unit cell a=6.2763 b=6.2763 c=6.2763 alpha=144.65 beta=128.18 gamma=64.30
Closest atoms and distances in Å follow each position.
Fractional positions:
Tl1 0.0000 0.0000 0.0000  4 Se 3.34, 8 Pb 3.55-3.59
Pb1 0.2816 0.7816 0.5000  2 Se 3.00
Pb2 0.7184 0.2184 0.5000  2 Se 3.00
Se1 0.5000 0.5000 0.0000  4 Pb 3.00, 4 Tl 3.34

Output
- energy relative to the lowest polymorph listed for this composition (eV per formula unit) = 0.00
- SG = Immm
- formation energy (no corrections) (meV/atom) = -143
- DOS at the Fermi energy (states/eV/atom) = 0.456